1.
First-principles (GGA-PBE) data for a geometry-optimized ReSbSe structure, as listed in the Alexandria database.

Structure (POSCAR):
```
ReSbSe
1.0
-3.0249 1.2199 6.3439
-5.1958 -2.0809 4.4223
5.4804 -1.0124 -4.4524
Se Re Sb
1 1 1
Cartesian
-5.0700 -0.5310 6.6398
-0.0920 -0.0096 0.1205
-3.0588 -0.3204 4.0059
```

energy relative to the elements, uncorrected	0.167	eV per atom
total magnetization	0.00	μB/cell
excess energy over the best structure of this formula in the dataset	51	meV per atom

=====

2.
First-principles (GGA-PBE) data for a geometry-optimized Al3VCo4 structure, as listed in the Alexandria database.

Structure (POSCAR):
```
Al3VCo4
1.0
-2.3238 -1.6191 -0.2877
1.4277 -1.7392 -1.7439
3.3276 -6.3931 9.1001
Co Al V
4 3 1
Cartesian
2.0758 -3.9882 5.6769
2.9126 -5.5957 7.9651
1.2517 -2.4049 3.4232
0.4150 -0.7974 1.1350
1.2157 -4.8757 3.5343
2.0388 -6.4571 5.7852
0.3926 -3.2943 1.2833
-0.4481 -1.6792 -1.0158
```

total magnetization	2.24	μB/cell
energy relative to the elements	-0.48	eV/atom

=====

3.
First-principles (GGA-PBE) data for a geometry-optimized Fe2AgMo structure, as listed in the Alexandria database.

Structure (POSCAR):
```
Fe2AgMo
1.0
2.6547 -0.0030 0.0000
-0.8137 2.5269 0.0000
0.0000 0.0000 8.6243
Mo Fe Ag
1 2 1
Cartesian
0.9205 1.2620 2.1561
0.0000 0.0000 0.0870
0.0000 0.0000 4.2252
0.9205 1.2620 6.4683
```

total magnetization	4.73	μB/cell
excess energy over the best structure of this formula in the dataset	4	meV per atom
energy relative to the elements	0.28	eV/atom

=====

4.
First-principles (GGA-PBE) data for a geometry-optimized CsPdCl3 structure, as listed in the Alexandria database.

Structure (POSCAR):
```
CsPdCl3
1.0
-3.4465 -3.5514 -3.1561
5.4897 -5.9087 2.0843
-2.8980 -2.4983 7.4049
Pd Cl Cs
2 6 2
Cartesian
0.8296 -3.1322 2.5787
-1.9156 -2.0156 4.3209
-0.6141 -9.3825 3.8863
-0.8106 -5.6261 -1.5566
-3.4268 -4.6364 0.2264
1.7679 -8.9820 7.3844
1.5714 -5.2253 1.9412
-1.1056 -4.0628 3.5171
1.4317 -8.1666 -0.2156
-0.4744 -6.4415 6.0433
```

energy relative to the elements, uncorrected	-1.100	eV per atom
total magnetization	0.00	μB/cell

=====

5.
First-principles (GGA-PBE) data for a geometry-optimized PRu2Br structure, as listed in the Alexandria database.

Structure (POSCAR):
```
PRu2Br
1.0
-7.0099 1.4767 6.5387
-6.0089 -1.1196 7.5308
-4.6954 1.3891 8.3724
Ru P Br
2 1 1
Cartesian
-0.0011 0.0001 0.0014
-4.5349 0.4470 5.7452
-12.8178 1.2636 16.2386
-9.2176 0.9087 11.6776
```

energy relative to the elements, uncorrected	0.312	eV per atom
total magnetization	0.00	μB/cell
excess energy over the best structure of this formula in the dataset	417	meV per atom

=====

6.
First-principles (GGA-PBE) data for a geometry-optimized NaCdIrO2 structure, as listed in the Alexandria database.

Structure (POSCAR):
```
NaCdIrO2
1.0
-0.3534 3.7545 0.9695
-5.7207 -0.6804 0.5498
0.4707 -0.9248 3.7529
Ir Na O Cd
1 1 2 1
Cartesian
0.0000 0.0000 0.0000
-2.8017 1.0746 2.6361
-0.1767 1.8772 0.4848
0.2354 -0.4624 1.8765
-2.8604 -0.3402 0.2749
```

energy relative to the elements, uncorrected	-0.223	eV per atom
total magnetization	0.09	μB/cell

=====

7.
First-principles (GGA-PBE) data for a geometry-optimized AcNdZn2Ge2 structure, as listed in the Alexandria database.

Structure (POSCAR):
```
AcNdZn2Ge2
1.0
-2.9669 -0.8133 3.0065
4.0422 -1.3675 0.5419
2.0315 7.6156 4.0648
Nd Ge Ac Zn
1 2 1 2
Cartesian
1.0157 3.8078 2.0324
0.8609 4.5929 5.1691
2.2459 0.8419 2.4441
0.0000 0.0000 0.0000
3.2041 4.4342 4.3614
-0.0974 1.0007 3.2517
```

total magnetization	0.00	μB/cell
energy relative to the elements	-0.65	eV/atom

=====

8.
First-principles (GGA-PBE) data for a geometry-optimized ZrSb2TeO structure, as listed in the Alexandria database.

Structure (POSCAR):
```
ZrSb2TeO
1.0
5.5202 0.0000 0.0000
0.0000 5.5202 0.0000
0.0000 0.0000 5.4186
Zr Sb O Te
1 2 1 1
Cartesian
0.0000 0.0000 0.0000
2.7601 0.0000 0.0000
0.0000 2.7601 0.0000
2.7601 2.7601 2.7093
0.0000 0.0000 2.7093
```

energy relative to the elements, uncorrected	0.630	eV per atom
total magnetization	0.00	μB/cell
excess energy over the best structure of this formula in the dataset	844	meV per atom